(1)
A plane-wave DFT calculation with GGA-PBE was carried out for a relaxed CdCl2 crystal.

Geometry as CIF:
```
data_CdCl2
_chemical_formula_sum 'Cd2 Cl4'
_cell_length_a 6.665
_cell_length_b 3.798
_cell_length_c 6.146
_cell_angle_alpha 90.00
_cell_angle_beta 90.00
_cell_angle_gamma 90.00
_symmetry_space_group_name_H-M 'P 1'
_symmetry_Int_Tables_number 1
_symmetry_space_group_name_Hall 'P 1'
loop_
_atom_site_label
_atom_site_type_symbol
_atom_site_fract_x
_atom_site_fract_y
_atom_site_fract_z
Cd1 Cd 0.000 0.000 0.000
Cd2 Cd 0.500 0.000 0.000
Cl1 Cl 0.250 0.000 0.304
Cl2 Cl 0.250 0.500 0.807
Cl3 Cl 0.750 0.000 0.696
Cl4 Cl 0.750 0.500 0.193
```

Summary:
Volume: 25.93 A^3/atom
Space-group type: Pmma (51)

=====

(2)
A plane-wave DFT calculation with GGA-PBE was carried out for a relaxed Ta6SnIr crystal.

Geometry as CIF:
```
data_Ta6SnIr
_chemical_formula_sum 'Ta6 Sn1 Ir1'
_cell_length_a 5.242
_cell_length_b 5.242
_cell_length_c 5.242
_cell_angle_alpha 90.00
_cell_angle_beta 90.00
_cell_angle_gamma 90.00
_symmetry_space_group_name_H-M 'P 1'
_symmetry_Int_Tables_number 1
_symmetry_space_group_name_Hall 'P 1'
loop_
_atom_site_label
_atom_site_type_symbol
_atom_site_fract_x
_atom_site_fract_y
_atom_site_fract_z
Ta1 Ta 0.000 0.255 0.500
Ta2 Ta 0.000 0.745 0.500
Ta3 Ta 0.255 0.500 0.000
Ta4 Ta 0.500 0.000 0.255
Ta5 Ta 0.500 0.000 0.745
Ta6 Ta 0.745 0.500 0.000
Sn1 Sn 0.000 0.000 0.000
Ir1 Ir 0.500 0.500 0.500
```

Summary:
Volume: 18.01 A^3/atom
Total magnetic moment: 0.01 μB/f.u.
Space-group type: Pm-3 (200)

=====

(3)
A plane-wave DFT calculation with GGA-PBE was carried out for a relaxed ReBiIr2 crystal.

Geometry as CIF:
```
data_ReBiIr2
_chemical_formula_sum 'Re1 Bi1 Ir2'
_cell_length_a 4.592
_cell_length_b 4.592
_cell_length_c 4.592
_cell_angle_alpha 60.00
_cell_angle_beta 60.00
_cell_angle_gamma 60.00
_symmetry_space_group_name_H-M 'P 1'
_symmetry_Int_Tables_number 1
_symmetry_space_group_name_Hall 'P 1'
loop_
_atom_site_label
_atom_site_type_symbol
_atom_site_fract_x
_atom_site_fract_y
_atom_site_fract_z
Re1 Re 0.000 0.000 0.000
Bi1 Bi 0.750 0.750 0.750
Ir1 Ir 0.250 0.250 0.250
Ir2 Ir 0.500 0.500 0.500
```

Summary:
Volume: 17.12 A^3/atom
Total magnetic moment: 0.01 μB/f.u.
Space-group type: F-43m (216)

=====

(4)
A plane-wave DFT calculation with GGA-PBE was carried out for a relaxed KNaEr crystal.

Geometry as CIF:
```
data_KNaEr
_chemical_formula_sum 'K1 Na1 Er1'
_cell_length_a 5.959
_cell_length_b 5.959
_cell_length_c 5.959
_cell_angle_alpha 60.00
_cell_angle_beta 60.00
_cell_angle_gamma 60.00
_symmetry_space_group_name_H-M 'P 1'
_symmetry_Int_Tables_number 1
_symmetry_space_group_name_Hall 'P 1'
loop_
_atom_site_label
_atom_site_type_symbol
_atom_site_fract_x
_atom_site_fract_y
_atom_site_fract_z
K1 K 0.000 0.000 0.000
Na1 Na 0.500 0.500 0.500
Er1 Er 0.250 0.250 0.250
```

Summary:
Volume: 49.86 A^3/atom
Total magnetic moment: 0.35 μB/f.u.
Space-group type: F-43m (216)

=====

(5)
A plane-wave DFT calculation with GGA-PBE was carried out for a relaxed CsGdBeS3 crystal.

Geometry as CIF:
```
data_CsGdBeS3
_chemical_formula_sum 'Cs2 Gd2 Be2 S6'
_cell_length_a 8.008
_cell_length_b 8.008
_cell_length_c 10.559
_cell_angle_alpha 90.00
_cell_angle_beta 90.00
_cell_angle_gamma 151.54
_symmetry_space_group_name_H-M 'P 1'
_symmetry_Int_Tables_number 1
_symmetry_space_group_name_Hall 'P 1'
loop_
_atom_site_label
_atom_site_type_symbol
_atom_site_fract_x
_atom_site_fract_y
_atom_site_fract_z
Cs1 Cs 0.239 0.761 0.750
Cs2 Cs 0.761 0.239 0.250
Gd1 Gd 0.500 0.500 0.000
Gd2 Gd 0.500 0.500 0.500
Be1 Be 0.040 0.960 0.250
Be2 Be 0.960 0.040 0.750
S1 S 0.110 0.890 0.081
S2 S 0.110 0.890 0.419
S3 S 0.455 0.545 0.250
S4 S 0.545 0.455 0.750
S5 S 0.890 0.110 0.581
S6 S 0.890 0.110 0.919
```

Summary:
Volume: 26.89 A^3/atom
Total magnetic moment: 0.00 μB/f.u.
Space-group type: Cmcm (63)

=====

(6)
A plane-wave DFT calculation with GGA-PBE was carried out for a relaxed CdSi17Ge14 crystal.

Geometry as CIF:
```
data_CdSi17Ge14
_chemical_formula_sum 'Cd1 Si17 Ge14'
_cell_length_a 5.624
_cell_length_b 3.936
_cell_length_c 31.847
_cell_angle_alpha 90.00
_cell_angle_beta 90.11
_cell_angle_gamma 90.00
_symmetry_space_group_name_H-M 'P 1'
_symmetry_Int_Tables_number 1
_symmetry_space_group_name_Hall 'P 1'
loop_
_atom_site_label
_atom_site_type_symbol
_atom_site_fract_x
_atom_site_fract_y
_atom_site_fract_z
Cd1 Cd 0.000 0.000 0.000
Si1 Si 0.017 0.000 0.249
Si2 Si 0.018 0.000 0.499
Si3 Si 0.018 0.000 0.748
Si4 Si 0.030 0.000 0.627
Si5 Si 0.272 0.500 0.128
Si6 Si 0.272 0.500 0.627
Si7 Si 0.282 0.500 0.377
Si8 Si 0.528 0.500 0.187
Si9 Si 0.529 0.500 0.687
Si10 Si 0.530 0.500 0.437
Si11 Si 0.536 0.500 0.935
Si12 Si 0.763 0.000 0.932
Si13 Si 0.766 0.000 0.189
Si14 Si 0.771 0.000 0.439
Si15 Si 0.772 0.000 0.687
Si16 Si 0.773 0.000 0.069
Si17 Si 0.780 0.000 0.809
Ge1 Ge 0.017 0.000 0.872
Ge2 Ge 0.026 0.000 0.129
Ge3 Ge 0.030 0.000 0.377
Ge4 Ge 0.269 0.500 0.248
Ge5 Ge 0.271 0.500 0.499
Ge6 Ge 0.271 0.500 0.748
Ge7 Ge 0.275 0.500 0.875
Ge8 Ge 0.314 0.500 0.000
Ge9 Ge 0.518 0.500 0.313
Ge10 Ge 0.518 0.500 0.564
Ge11 Ge 0.530 0.500 0.811
Ge12 Ge 0.532 0.500 0.068
Ge13 Ge 0.782 0.000 0.312
Ge14 Ge 0.784 0.000 0.564
```

Summary:
Volume: 22.03 A^3/atom
Space-group type: Pm (6)

=====

(7)
A plane-wave DFT calculation with GGA-PBE was carried out for a relaxed CsMo3Cl7 crystal.

Geometry as CIF:
```
data_CsMo3Cl7
_chemical_formula_sum 'Cs4 Mo12 Cl28'
_cell_length_a 9.843
_cell_length_b 9.843
_cell_length_c 14.501
_cell_angle_alpha 90.00
_cell_angle_beta 90.00
_cell_angle_gamma 120.00
_symmetry_space_group_name_H-M 'P 1'
_symmetry_Int_Tables_number 1
_symmetry_space_group_name_Hall 'P 1'
loop_
_atom_site_label
_atom_site_type_symbol
_atom_site_fract_x
_atom_site_fract_y
_atom_site_fract_z
Cs1 Cs 0.000 0.000 0.000
Cs2 Cs 0.000 0.000 0.500
Cs3 Cs 0.333 0.667 0.235
Cs4 Cs 0.667 0.333 0.735
Mo1 Mo 0.177 0.662 0.665
Mo2 Mo 0.180 0.511 0.812
Mo3 Mo 0.331 0.820 0.812
Mo4 Mo 0.338 0.515 0.665
Mo5 Mo 0.485 0.823 0.665
Mo6 Mo 0.489 0.669 0.812
Mo7 Mo 0.511 0.180 0.312
Mo8 Mo 0.515 0.338 0.165
Mo9 Mo 0.662 0.177 0.165
Mo10 Mo 0.669 0.489 0.312
Mo11 Mo 0.820 0.331 0.312
Mo12 Mo 0.823 0.485 0.165
Cl1 Cl 0.035 0.339 0.401
Cl2 Cl 0.040 0.665 0.811
Cl3 Cl 0.043 0.687 0.077
Cl4 Cl 0.047 0.368 0.667
Cl5 Cl 0.304 0.965 0.401
Cl6 Cl 0.313 0.356 0.077
Cl7 Cl 0.321 0.953 0.667
Cl8 Cl 0.333 0.667 0.530
Cl9 Cl 0.333 0.667 0.947
Cl10 Cl 0.335 0.375 0.811
Cl11 Cl 0.339 0.035 0.901
Cl12 Cl 0.356 0.313 0.577
Cl13 Cl 0.368 0.047 0.167
Cl14 Cl 0.375 0.335 0.311
Cl15 Cl 0.625 0.960 0.811
Cl16 Cl 0.632 0.679 0.667
Cl17 Cl 0.644 0.957 0.077
Cl18 Cl 0.661 0.696 0.401
Cl19 Cl 0.665 0.040 0.311
Cl20 Cl 0.667 0.333 0.030
Cl21 Cl 0.667 0.333 0.447
Cl22 Cl 0.679 0.632 0.167
Cl23 Cl 0.687 0.043 0.577
Cl24 Cl 0.696 0.661 0.901
Cl25 Cl 0.953 0.321 0.167
Cl26 Cl 0.957 0.644 0.577
Cl27 Cl 0.960 0.625 0.311
Cl28 Cl 0.965 0.304 0.901
```

Summary:
Volume: 27.65 A^3/atom
Total magnetic moment: 0.00 μB/f.u.
Space-group type: P31c (159)

=====

(8)
A plane-wave DFT calculation with GGA-PBE was carried out for a relaxed LiLaAu crystal.

Geometry as CIF:
```
data_LiLaAu
_chemical_formula_sum 'Li2 La2 Au2'
_cell_length_a 4.121
_cell_length_b 4.121
_cell_length_c 8.492
_cell_angle_alpha 90.00
_cell_angle_beta 90.00
_cell_angle_gamma 90.00
_symmetry_space_group_name_H-M 'P 1'
_symmetry_Int_Tables_number 1
_symmetry_space_group_name_Hall 'P 1'
loop_
_atom_site_label
_atom_site_type_symbol
_atom_site_fract_x
_atom_site_fract_y
_atom_site_fract_z
Li1 Li 0.250 0.750 0.000
Li2 Li 0.750 0.250 0.000
La1 La 0.250 0.250 0.348
La2 La 0.750 0.750 0.652
Au1 Au 0.250 0.250 0.779
Au2 Au 0.750 0.750 0.221
```

Summary:
Volume: 24.03 A^3/atom
Total magnetic moment: 0.31 μB/f.u.
Space-group type: P4/nmm (129)

=====

(9)
A plane-wave DFT calculation with GGA-PBE was carried out for a relaxed Y3Al3Cu2Ge crystal.

Geometry as CIF:
```
data_Y3Al3Cu2Ge
_chemical_formula_sum 'Y3 Al3 Cu2 Ge1'
_cell_length_a 7.280
_cell_length_b 7.280
_cell_length_c 3.900
_cell_angle_alpha 90.00
_cell_angle_beta 90.00
_cell_angle_gamma 120.00
_symmetry_space_group_name_H-M 'P 1'
_symmetry_Int_Tables_number 1
_symmetry_space_group_name_Hall 'P 1'
loop_
_atom_site_label
_atom_site_type_symbol
_atom_site_fract_x
_atom_site_fract_y
_atom_site_fract_z
Y1 Y 0.000 0.602 0.000
Y2 Y 0.398 0.398 0.000
Y3 Y 0.602 0.000 0.000
Al1 Al 0.000 0.262 0.500
Al2 Al 0.262 0.000 0.500
Al3 Al 0.738 0.738 0.500
Cu1 Cu 0.333 0.667 0.500
Cu2 Cu 0.667 0.333 0.500
Ge1 Ge 0.000 0.000 0.000
```

Summary:
Volume: 19.89 A^3/atom
Total magnetic moment: 0.00 μB/f.u.
Space-group type: P-62m (189)

=====

(10)
A plane-wave DFT calculation with GGA-PBE was carried out for a relaxed ZrZnCoSi crystal.

Geometry as CIF:
```
data_ZrZnCoSi
_chemical_formula_sum 'Zr1 Zn1 Co1 Si1'
_cell_length_a 4.342
_cell_length_b 4.342
_cell_length_c 4.342
_cell_angle_alpha 60.00
_cell_angle_beta 60.00
_cell_angle_gamma 60.00
_symmetry_space_group_name_H-M 'P 1'
_symmetry_Int_Tables_number 1
_symmetry_space_group_name_Hall 'P 1'
loop_
_atom_site_label
_atom_site_type_symbol
_atom_site_fract_x
_atom_site_fract_y
_atom_site_fract_z
Zr1 Zr 0.000 0.000 0.000
Zn1 Zn 0.250 0.250 0.250
Co1 Co 0.750 0.750 0.750
Si1 Si 0.500 0.500 0.500
```

Summary:
Volume: 14.47 A^3/atom
Total magnetic moment: 0.00 μB/f.u.
Space-group type: F-43m (216)

=====

| no. | final energy (eV/cell) |
| --- | --- |
| 1 | -15.1 |
| 2 | -85.6 |
| 3 | -31.1 |
| 4 | -4.0 |
| 5 | -62.0 |
| 6 | -155.8 |
| 7 | -235.2 |
| 8 | -23.6 |
| 9 | -46.5 |
| 10 | -23.2 |